{"formula": "Be2Ga2Ag", "functional": "PBE", "state": "optimized geometry", "cell": [[6.211, 0.000, 0.000], [0.000, 6.211, 0.000], [0.000, 0.000, 3.670]], "species": ["Ag", "Ag", "Be", "Ga", "Ga", "Ga", "Be", "Be", "Be", "Ga"], "frac_coords": [[0.000, 0.000, 0.000], [0.500, 0.500, 0.000], [0.126, 0.374, 0.000], [0.665, 0.835, 0.500], [0.335, 0.165, 0.500], [0.835, 0.335, 0.500], [0.626, 0.126, 0.000], [0.874, 0.626, 0.000], [0.374, 0.874, 0.000], [0.165, 0.665, 0.500]], "volume_a3_per_atom": 14.16, "e_tot_ev_per_atom": -3.02, "formation_energy_ev_per_atom": 0.25}


{"formula": "BeGa3Ag", "functional": "PBE", "state": "optimized geometry", "cell": [[4.528, 0.000, 0.000], [0.000, 4.528, 0.000], [0.000, 0.000, 4.528]], "species": ["Ga", "Ag", "Be", "Ga", "Ga"], "frac_coords": [[0.000, 0.000, 0.500], [0.500, 0.500, 0.500], [0.000, 0.000, 0.000], [0.500, 0.000, 0.000], [0.000, 0.500, 0.000]], "volume_a3_per_atom": 18.56, "relative_energy_ev_per_fu": 0.000, "e_tot_ev_per_atom": -2.84, "formation_energy_ev_per_atom": 0.29}


{"formula": "Be2GaAg2", "functional": "PBE", "state": "optimized geometry", "cell": [[3.017, 0.000, 0.000], [0.000, 3.017, 0.000], [1.509, 1.509, 7.879]], "species": ["Be", "Ag", "Be", "Ag", "Ga"], "frac_coords": [[0.750, 0.250, 0.500], [0.624, 0.624, 0.751], [0.250, 0.750, 0.500], [0.376, 0.376, 0.249], [0.000, 0.000, 0.000]], "volume_a3_per_atom": 14.35, "relative_energy_ev_per_fu": 0.157, "e_tot_ev_per_atom": -3.03, "formation_energy_ev_per_atom": 0.21}


{"formula": "Be3GaAg", "functional": "PBE", "state": "optimized geometry", "cell": [[4.373, 0.000, 0.000], [0.000, 4.373, 0.000], [0.000, 0.000, 4.373]], "species": ["Be", "Ga", "Be", "Ag", "Be"], "frac_coords": [[0.000, 0.500, 0.000], [0.500, 0.500, 0.500], [0.500, 0.000, 0.000], [0.000, 0.000, 0.000], [0.000, 0.000, 0.500]], "volume_a3_per_atom": 16.73, "relative_energy_ev_per_fu": 0.192, "e_tot_ev_per_atom": -2.57, "formation_energy_ev_per_atom": 0.85}


{"formula": "BeGaAg2", "functional": "PBE", "state": "optimized geometry", "cell": [[3.929, 0.000, 0.000], [0.000, 3.929, 0.000], [1.964, 1.964, 8.931]], "species": ["Ag", "Be", "Ag", "Ag", "Ga", "Ga", "Be", "Ag"], "frac_coords": [[0.615, 0.125, 0.250], [0.250, 0.750, 0.500], [0.875, 0.865, 0.750], [0.135, 0.625, 0.250], [0.000, 0.000, 0.000], [0.750, 0.250, 0.500], [0.500, 0.500, 0.000], [0.375, 0.385, 0.750]], "volume_a3_per_atom": 17.23, "relative_energy_ev_per_fu": 1.012, "e_tot_ev_per_atom": -2.74, "formation_energy_ev_per_atom": 0.37}


{"formula": "BeGa3Ag", "functional": "PBE", "state": "optimized geometry", "cell": [[4.971, 0.000, 0.000], [0.000, 4.971, 0.000], [0.000, 0.000, 4.971]], "species": ["Ga", "Ag", "Be", "Ga", "Ga"], "frac_coords": [[0.000, 0.500, 0.000], [0.000, 0.000, 0.000], [0.500, 0.500, 0.500], [0.000, 0.000, 0.500], [0.500, 0.000, 0.000]], "volume_a3_per_atom": 24.56, "relative_energy_ev_per_fu": 2.624, "e_tot_ev_per_atom": -2.32, "formation_energy_ev_per_atom": 0.81}


{"formula": "Be2GaAg2", "functional": "PBE", "state": "optimized geometry", "cell": [[7.223, 0.000, 0.000], [0.000, 7.223, 0.000], [0.000, 0.000, 2.772]], "species": ["Be", "Ag", "Be", "Ga", "Ag", "Ag", "Be", "Ga", "Be", "Ag"], "frac_coords": [[0.342, 0.158, 0.500], [0.140, 0.360, 0.000], [0.842, 0.342, 0.500], [0.500, 0.500, 0.000], [0.860, 0.640, 0.000], [0.360, 0.860, 0.000], [0.158, 0.658, 0.500], [0.000, 0.000, 0.000], [0.658, 0.842, 0.500], [0.640, 0.140, 0.000]], "volume_a3_per_atom": 14.46, "relative_energy_ev_per_fu": 0.462, "e_tot_ev_per_atom": -2.97, "formation_energy_ev_per_atom": 0.27}


{"formula": "BeGaAg2", "functional": "PBE", "state": "optimized geometry", "cell": [[2.955, 0.000, 0.000], [0.000, 2.955, 0.000], [0.000, 0.000, 6.958]], "species": ["Ag", "Be", "Ga", "Ag"], "frac_coords": [[0.000, 0.000, 0.788], [0.500, 0.500, 0.000], [0.500, 0.500, 0.500], [0.000, 0.000, 0.212]], "volume_a3_per_atom": 15.19, "relative_energy_ev_per_fu": 0.000, "e_tot_ev_per_atom": -3.00, "formation_energy_ev_per_atom": 0.12}